Entry 1:
The following is a meta-GGA SCAN calculation of a PBEsol-optimized structure of InIr2Pb, from Alexandria via LeMat-Bulk.

Calculated values
Formation energy   1.84 eV/f.u.
V   143.4 Å³/cell
Energy relative to the lowest polymorph listed for this composition   0.063 eV/atom

Structure (CIF):
```
data_InIr2Pb
_chemical_formula_sum 'In2 Ir4 Pb2'
_cell_length_a 8.8178
_cell_length_b 3.1007
_cell_length_c 5.3493
_cell_angle_alpha 90.00
_cell_angle_beta 101.34
_cell_angle_gamma 90.00
_symmetry_space_group_name_H-M 'C 1 2/m 1'
_symmetry_Int_Tables_number 12
loop_
_symmetry_equiv_pos_as_xyz
'x,y,z'
'-x,-y,-z'
'-x,y,-z'
'x,-y,z'
'x+1/2,y+1/2,z'
'-x+1/2,-y+1/2,-z'
'-x+1/2,y+1/2,-z'
'x+1/2,-y+1/2,z'
loop_
_atom_site_label
_atom_site_type_symbol
_atom_site_fract_x
_atom_site_fract_y
_atom_site_fract_z
_atom_site_occupancy
In1 In 0.0000 0.0000 0.0000 1
Ir1 Ir 0.2462 0.5000 0.2387 1
Pb1 Pb 0.0000 0.5000 0.5000 1
```

***

Entry 2:
The following is a meta-GGA SCAN calculation of a PBEsol-optimized structure of InIr2PbS, from Alexandria via LeMat-Bulk.

Calculated values
V   130.4 Å³/cell
Formation energy (no corrections)   1.82 eV per atom

Structure (CIF):
```
data_InIr2PbS
_chemical_formula_sum 'In1 Ir2 Pb1 S1'
_cell_length_a 4.8477
_cell_length_b 4.8477
_cell_length_c 5.5489
_cell_angle_alpha 90.00
_cell_angle_beta 90.00
_cell_angle_gamma 90.00
_symmetry_space_group_name_H-M 'P 4/m m m'
_symmetry_Int_Tables_number 123
_symmetry_space_group_name_Hall '-P 4 2'
loop_
_atom_site_label
_atom_site_type_symbol
_atom_site_fract_x
_atom_site_fract_y
_atom_site_fract_z
_atom_site_occupancy
In1 In 0.0000 0.0000 0.0000 1
Ir1 Ir 0.0000 0.5000 0.0000 1
Pb1 Pb 0.0000 0.0000 0.5000 1
S1 S 0.5000 0.5000 0.5000 1
```

***

Entry 3:
The following is a meta-GGA SCAN calculation of a PBEsol-optimized structure of InTeIrPd2, from Alexandria via LeMat-Bulk.

Calculated values
V   120.0 Å³/cell
Formation energy (no corrections)   1.51 eV per atom

Structure (CIF):
```
data_InTeIrPd2
_chemical_formula_sum 'In1 Te1 Ir1 Pd2'
_cell_length_a 4.7523
_cell_length_b 4.7523
_cell_length_c 5.3125
_cell_angle_alpha 90.00
_cell_angle_beta 90.00
_cell_angle_gamma 90.00
_symmetry_space_group_name_H-M 'P 4/m m m'
_symmetry_Int_Tables_number 123
_symmetry_space_group_name_Hall '-P 4 2'
loop_
_atom_site_label
_atom_site_type_symbol
_atom_site_fract_x
_atom_site_fract_y
_atom_site_fract_z
_atom_site_occupancy
In1 In 0.0000 0.0000 0.0000 1
Te1 Te 0.0000 0.0000 0.5000 1
Ir1 Ir 0.5000 0.5000 0.5000 1
Pd1 Pd 0.0000 0.5000 0.0000 1
```

***

Entry 4:
The following is a meta-GGA SCAN calculation of a PBEsol-optimized structure of PrIn5Ir, from Alexandria via LeMat-Bulk.

Calculated values
Formation energy   -3.64 eV/f.u.
V   161.3 Å³/cell

Structure (CIF):
```
data_PrIn5Ir
_chemical_formula_sum 'Pr1 In5 Ir1'
_cell_length_a 4.6395
_cell_length_b 4.6395
_cell_length_c 7.4918
_cell_angle_alpha 90.00
_cell_angle_beta 90.00
_cell_angle_gamma 90.00
_symmetry_space_group_name_H-M 'P 4/m m m'
_symmetry_Int_Tables_number 123
_symmetry_space_group_name_Hall '-P 4 2'
loop_
_atom_site_label
_atom_site_type_symbol
_atom_site_fract_x
_atom_site_fract_y
_atom_site_fract_z
_atom_site_occupancy
Pr1 Pr 0.0000 0.0000 0.0000 1
In1 In 0.0000 0.5000 0.3040 1
In2 In 0.5000 0.5000 0.0000 1
Ir1 Ir 0.0000 0.0000 0.5000 1
```

***

Entry 5:
The following is a meta-GGA SCAN calculation of a PBEsol-optimized structure of PrIn2Ir, from Alexandria via LeMat-Bulk.

Calculated values
Formation energy   -2.70 eV/f.u.
V   356.5 Å³/cell

Structure (CIF):
```
data_PrIn2Ir
_chemical_formula_sum 'Pr4 In8 Ir4'
_cell_length_a 4.3748
_cell_length_b 10.3335
_cell_length_c 7.8861
_cell_angle_alpha 90.00
_cell_angle_beta 90.00
_cell_angle_gamma 90.00
_symmetry_space_group_name_H-M 'C m c m'
_symmetry_Int_Tables_number 63
_symmetry_space_group_name_Hall '-C 2c 2'
loop_
_atom_site_label
_atom_site_type_symbol
_atom_site_fract_x
_atom_site_fract_y
_atom_site_fract_z
_atom_site_occupancy
Pr1 Pr 0.0000 0.0698 0.2500 1
In1 In 0.0000 0.3552 0.0513 1
Ir1 Ir 0.0000 0.2174 0.7500 1
```

***

Entry 6:
The following is a meta-GGA SCAN calculation of a PBEsol-optimized structure of InIrPt, from Alexandria via LeMat-Bulk.

Calculated values
Formation energy   0.51 eV/f.u.
V   228.6 Å³/cell
Energy relative to the lowest polymorph listed for this composition   0.000 eV/atom

Structure (CIF):
```
data_InIrPt
_chemical_formula_sum 'In4 Ir4 Pt4'
_cell_length_a 6.1145
_cell_length_b 6.1145
_cell_length_c 6.1145
_cell_angle_alpha 90.00
_cell_angle_beta 90.00
_cell_angle_gamma 90.00
_symmetry_space_group_name_H-M 'F -4 3 m'
_symmetry_Int_Tables_number 216
_symmetry_space_group_name_Hall 'F -4 2 3'
loop_
_atom_site_label
_atom_site_type_symbol
_atom_site_fract_x
_atom_site_fract_y
_atom_site_fract_z
_atom_site_occupancy
In1 In 0.0000 0.0000 0.0000 1
Ir1 Ir 0.0000 0.0000 0.5000 1
Pt1 Pt 0.2500 0.2500 0.2500 1
```

***

Question: Which of these has the lowest V?
Answer: InTeIrPd2

***

Question: Which of these has the lowest V?
Answer: InTeIrPd2

***

Question: Look up the V of the second one.
Answer: 130.4 Å³/cell